KMn2Zn3Si12O30: optimized geometry, PBE+U.

Properties
* N(E_F): 28.1 states/eV/cell
* symmetry: P6/mcc
* volume: 13.92 Å³/atom
* calculated total energy: -7.3644 eV/atom

Cell lengths 10.296, 10.296, 14.561 Å; angles 90.00, 90.00, 120.00 degrees
Site moments in Bohr magnetons follow the coordinates.
Positions (direct):
O1 0.154 0.495 0.827  -0.01
O2 0.154 0.659 0.327  -0.01
O3 0.505 0.846 0.327  -0.01
O4 0.872 0.606 0.999  0.00
Si1 0.238 0.351 0.391  0.00
O5 0.941 0.724 0.367  0.00
O6 0.341 0.495 0.672  -0.01
O7 0.505 0.659 0.827  -0.01
O8 0.941 0.724 0.632  0.00
O9 0.495 0.341 0.827  -0.01
Si2 0.649 0.762 0.891  0.00
O10 0.783 0.724 0.132  0.00
O11 0.846 0.341 0.327  -0.01
O12 0.724 0.941 0.867  0.00
Zn1 0.000 0.500 0.249  0.00
O13 0.128 0.394 0.999  0.00
Si3 0.113 0.351 0.108  0.00
Zn2 0.500 0.500 0.749  0.00
O14 0.782 0.059 0.367  0.00
O15 0.505 0.846 0.672  -0.01
Si4 0.238 0.887 0.891  0.00
Zn3 0.500 0.000 0.749  0.00
O16 0.724 0.782 0.367  0.00
O17 0.394 0.128 0.499  0.00
Si5 0.351 0.238 0.891  0.00
Si6 0.351 0.113 0.608  0.00
Si7 0.762 0.113 0.108  0.00
O18 0.276 0.059 0.132  0.00
O19 0.276 0.059 0.867  0.00
O20 0.394 0.266 0.999  0.00
O21 0.659 0.154 0.827  -0.01
Si8 0.887 0.649 0.108  0.00
O22 0.154 0.495 0.172  -0.01
O23 0.218 0.941 0.367  0.00
O24 0.341 0.495 0.327  -0.01
O25 0.059 0.782 0.867  0.00
O26 0.724 0.783 0.632  0.00
O27 0.659 0.154 0.172  -0.01
Si9 0.887 0.238 0.391  0.00
O28 0.734 0.606 0.499  0.00
O29 0.217 0.276 0.132  0.00
O30 0.783 0.059 0.632  0.00
O31 0.059 0.783 0.132  0.00
O32 0.724 0.941 0.132  0.00
Si10 0.762 0.649 0.391  0.00
O33 0.266 0.872 0.999  0.00
O34 0.217 0.941 0.632  0.00
Si11 0.113 0.762 0.608  0.00
Zn4 0.000 0.500 0.749  0.00
Si12 0.649 0.762 0.108  0.00
O35 0.059 0.276 0.367  0.00
O36 0.846 0.505 0.172  -0.01
Zn5 0.500 0.500 0.249  0.00
Mn1 0.667 0.333 0.249  4.38
Si13 0.238 0.887 0.108  0.00
Mn2 0.667 0.333 0.749  4.38
Si14 0.887 0.649 0.891  0.00
O37 0.059 0.276 0.632  0.00
K1 0.000 0.000 0.749  0.00
Si15 0.113 0.762 0.391  0.00
O38 0.495 0.154 0.672  -0.01
O39 0.276 0.218 0.367  0.00
O40 0.341 0.846 0.827  -0.01
O41 0.872 0.266 0.499  0.00
O42 0.154 0.659 0.672  -0.01
O43 0.659 0.505 0.672  -0.01
Si16 0.351 0.113 0.391  0.00
O44 0.606 0.872 0.499  0.00
Si17 0.762 0.649 0.608  0.00
O45 0.659 0.505 0.327  -0.01
O46 0.266 0.394 0.499  0.00
Mn3 0.333 0.667 0.249  4.38
Si18 0.351 0.238 0.108  0.00
O47 0.606 0.734 0.999  0.00
Zn6 0.500 0.000 0.249  0.00
Si19 0.113 0.351 0.891  0.00
O48 0.341 0.846 0.172  -0.01
Mn4 0.333 0.667 0.749  4.38
O49 0.941 0.217 0.132  0.00
O50 0.505 0.659 0.172  -0.01
O51 0.734 0.128 0.999  0.00
O52 0.782 0.724 0.867  0.00
O53 0.941 0.218 0.867  0.00
O54 0.495 0.341 0.172  -0.01
K2 0.000 0.000 0.249  0.00
Si20 0.887 0.238 0.608  0.00
Si21 0.238 0.351 0.608  0.00
Si22 0.649 0.887 0.391  0.00
O55 0.276 0.217 0.632  0.00
O56 0.846 0.505 0.827  -0.01
O57 0.846 0.341 0.672  -0.01
O58 0.495 0.154 0.327  -0.01
Si23 0.649 0.887 0.608  0.00
Si24 0.762 0.113 0.891  0.00
O59 0.218 0.276 0.867  0.00
O60 0.128 0.734 0.499  0.00